## KNaMnO4 (GGA+U)

Data for crystalline KNaMnO4 at its relaxed geometry.

Computed properties:
- DFT total energy (eV/atom) = -5.376
- calculated density (Mg/m³) = 1.7

abc: 6.2416 6.2416 6.2416
angles: 60.00 60.00 60.00
Closest atoms and distances in Å follow each position.
Fractional coordinates of all 7 atoms:
K  0.0000  0.0000  0.0000  12 O 3.71, 4 Na 3.82
Na  0.7500  0.7500  0.7500  4 O 2.16
Mn  0.5000  0.5000  0.5000  4 O 1.66
O  0.1740  0.6087  0.6087  1 Mn 1.66
O  0.6087  0.1740  0.6087  1 Mn 1.66
O  0.6087  0.6087  0.1740  1 Mn 1.66
O  0.6087  0.6087  0.6087  1 Mn 1.66